Tb2NdHoEr2, optimized geometry, DFT GGA-PBE; space-group type = Pnnm; calculated total energy = -4.345 eV/atom; theoretical density = 8113 kg/m3
1.0
6.506 0.000 0.000
0.000 17.813 0.000
0.000 0.000 3.397
Tb Nd Ho Er
4 2 2 4
direct
0.222 0.187 0.000
0.278 0.687 0.500
0.722 0.313 0.500
0.778 0.813 0.000
0.000 0.000 0.000
0.500 0.500 0.500
0.000 0.500 0.000
0.500 0.000 0.500
0.219 0.353 0.500
0.281 0.853 0.000
0.719 0.147 0.000
0.781 0.647 0.500

Tb6NdHoEr2, optimized geometry, DFT GGA-PBE; space-group type = C2/c; calculated total energy = -4.506 eV/atom; theoretical density = 8199 kg/m3
1.0
4.557 -7.512 0.000
4.557 7.512 0.000
-1.121 0.000 9.450
Tb Nd Ho Er
12 2 2 4
direct
0.015 0.564 0.183
0.121 0.753 0.556
0.247 0.879 0.944
0.292 0.511 0.382
0.436 0.985 0.317
0.489 0.708 0.118
0.511 0.292 0.882
0.564 0.015 0.683
0.708 0.489 0.618
0.753 0.121 0.056
0.879 0.247 0.444
0.985 0.436 0.817
0.027 0.973 0.250
0.973 0.027 0.750
0.410 0.590 0.750
0.590 0.410 0.250
0.200 0.304 0.047
0.304 0.200 0.547
0.696 0.800 0.453
0.800 0.696 0.953

TbNdHo2Er2, optimized geometry, DFT GGA-PBE; space-group type = Pnnm; calculated total energy = -4.332 eV/atom; theoretical density = 8215 kg/m3
1.0
6.559 0.000 0.000
0.000 17.646 0.000
0.000 0.000 3.379
Tb Nd Ho Er
2 2 4 4
direct
0.000 0.000 0.000
0.500 0.500 0.500
0.000 0.500 0.000
0.500 0.000 0.500
0.224 0.150 0.500
0.276 0.650 0.000
0.724 0.350 0.000
0.776 0.850 0.500
0.227 0.317 0.000
0.273 0.817 0.500
0.727 0.183 0.500
0.773 0.683 0.000

Tb2NdHo6Er3, optimized geometry, DFT GGA-PBE; space-group type = C2/m; calculated total energy = -4.580 eV/atom; theoretical density = 8644 kg/m3
1.0
3.065 -5.303 0.000
3.065 5.303 0.000
-2.032 0.000 11.543
Tb Nd Ho Er
2 1 6 3
direct
0.167 0.833 0.000
0.833 0.167 0.000
0.500 0.500 0.000
0.081 0.415 0.747
0.251 0.251 0.253
0.415 0.081 0.747
0.585 0.919 0.253
0.749 0.749 0.747
0.919 0.585 0.253
0.000 0.000 0.500
0.333 0.667 0.500
0.667 0.333 0.500

Tb6Nd3HoEr2, optimized geometry, DFT GGA-PBE; space-group type = C2/m; calculated total energy = -4.631 eV/atom; theoretical density = 8057 kg/m3
1.0
3.101 -5.369 0.000
3.101 5.369 0.000
-2.061 0.000 11.673
Tb Nd Ho Er
6 3 1 2
direct
0.084 0.418 0.755
0.249 0.249 0.245
0.418 0.084 0.755
0.582 0.916 0.245
0.751 0.751 0.755
0.916 0.582 0.245
0.000 0.000 0.500
0.333 0.667 0.500
0.667 0.333 0.500
0.500 0.500 0.000
0.167 0.833 0.000
0.833 0.167 0.000

TbNd2Ho2Er, optimized geometry, DFT GGA-PBE; space-group type = Pmma; calculated total energy = -4.582 eV/atom; theoretical density = 8090 kg/m3
1.0
7.012 0.000 0.000
0.000 5.651 0.000
0.000 0.000 9.786
Tb Nd Ho Er
2 4 4 2
direct
0.250 0.000 0.158
0.750 0.000 0.842
0.000 0.000 0.500
0.250 0.500 0.678
0.500 0.000 0.500
0.750 0.500 0.322
0.250 0.000 0.832
0.250 0.500 0.336
0.750 0.000 0.168
0.750 0.500 0.664
0.000 0.500 0.000
0.500 0.500 0.000